[1]
Computed, not measured: NiPtRh2 after structural relaxation at the PBE-GGA level of DFT.

Cell and atoms, written as extended XYZ:
```
4
Lattice="-2.336 -0.823 1.031 0.469 -0.301 -2.624 3.587 -8.198 1.580" Properties=species:S:1:pos:R:3 pbc="T T T"
Ni 1.776 -4.059 0.782
Rh -0.006 -2.681 -0.388
Rh 0.024 -0.056 0.011
Pt 1.720 -6.626 0.372
```

## Properties
Total moment: 0.46 μB per formula unit
N(E_F): 6.32 states/eV/f.u.
Energy of formation: 147.2 meV/atom
Density: 13.419 g/cm3



[2]
Computed, not measured: Sm8SnTe4S3 after structural relaxation at the PBE-GGA level of DFT.

Cell and atoms, written as extended XYZ:
```
16
Lattice="8.487 0.000 0.000 0.000 8.707 0.150 -4.243 -4.240 6.003" Properties=species:S:1:pos:R:3 pbc="T T T"
S -2.122 2.233 3.077
S 2.122 2.233 3.077
S 4.243 4.353 0.075
Te 2.122 -2.120 3.002
Te 4.243 0.000 0.000
Te 0.000 0.000 0.000
Te -2.122 -2.120 3.002
Sm 4.243 4.158 2.936
Sm -2.031 2.133 5.941
Sm 6.275 2.334 0.212
Sm 2.031 2.133 5.941
Sm 4.243 0.304 3.086
Sm 2.212 2.334 0.212
Sm 0.000 0.309 3.218
Sm 0.000 4.162 3.067
Sn 0.000 4.353 0.075
```

## Properties
Total moment: 0.00 μB per formula unit
Energy relative to the elements, uncorrected: -1.55 eV/atom
N(E_F): 6.08 states/eV/f.u.
Density: 7.131 g/cm3